A geometry-optimized BaH4I2O2 structure. Source: Alexandria, functional PBE.

Cell: 6.809 6.809 8.753 Å, 71.44 71.44 68.12°
Positions (direct):
1 Ba 0.399 0.601 0.250
2 Ba 0.601 0.399 0.750
3 H 0.872 0.285 0.051
4 H 0.715 0.128 0.449
5 H 0.128 0.715 0.949
6 H 0.285 0.872 0.551
7 H 0.721 0.137 0.125
8 H 0.863 0.279 0.375
9 H 0.279 0.863 0.875
10 H 0.137 0.721 0.625
11 I 0.226 0.194 0.148
12 I 0.806 0.774 0.352
13 I 0.774 0.806 0.852
14 I 0.194 0.226 0.648
15 O 0.724 0.285 0.059
16 O 0.715 0.276 0.441
17 O 0.276 0.715 0.941
18 O 0.285 0.724 0.559

Summary:
total DFT energy (no corrections): -80.240 eV/cell

---

A geometry-optimized Ba2HIO structure. Source: Alexandria, functional PBE.

Cell: 4.400 7.546 9.771 Å, 76.63 76.99 73.05°
Positions (direct):
1 Ba 0.460 0.776 0.304
2 Ba 0.540 0.224 0.696
3 Ba 0.850 0.242 0.059
4 Ba 0.150 0.758 0.941
5 H 0.348 0.371 0.932
6 H 0.652 0.629 0.068
7 I 0.831 0.702 0.636
8 I 0.169 0.298 0.364
9 O 0.034 0.108 0.824
10 O 0.966 0.892 0.176

Summary:
total DFT energy (no corrections): -44.967 eV/cell